No. 1
Below is an optimized crystal structure of EuPuInGa, with properties calculated at the PBE level.

Unit cell a=5.3554 b=5.3554 c=5.3554 alpha=60.00 beta=60.00 gamma=60.00
Last column: magnetic moment on the atom in μB.
Sites, in units of the cell vectors:
Eu 0.0000 0.0000 0.0000  -6.76
In 0.2500 0.2500 0.2500  0.01
Ga 0.7500 0.7500 0.7500  0.00
Pu 0.5000 0.5000 0.5000  5.44

ΔH_f (0 K): -0.24 eV/atom


No. 2
Below is an optimized crystal structure of ScBSb2Cl, with properties calculated at the PBE level.

Unit cell a=5.4724 b=4.6049 c=5.4724 alpha=90.00 beta=90.00 gamma=90.00
Sites, in units of the cell vectors:
Sc 0.0000 0.5000 0.0000
Sb 0.0000 0.0000 0.5000
Sb 0.5000 0.0000 0.0000
B 0.5000 0.5000 0.5000
Cl 0.0000 0.0000 0.0000

Uncorrected formation energy: 1.115 eV per atom


No. 3
Below is an optimized crystal structure of SmCu2Te3, with properties calculated at the PBE level.

Unit cell a=4.1468 b=7.6921 c=11.2378 alpha=101.72 beta=100.61 gamma=90.00
Sites, in units of the cell vectors:
Sm 0.3488 0.9817 0.6976
Sm 0.6512 0.0183 0.3024
Cu 0.2874 0.5874 0.5749
Cu 0.7126 0.4126 0.4251
Cu 0.9477 0.8581 0.8956
Cu 0.0523 0.1419 0.1044
Te 0.2508 0.2423 0.5017
Te 0.0635 0.8100 0.1269
Te 0.4080 0.6542 0.8162
Te 0.7492 0.7577 0.4983
Te 0.5920 0.3458 0.1838
Te 0.9365 0.1900 0.8731

Uncorrected formation energy: -0.591 eV per atom


No. 4
Below is an optimized crystal structure of Cs2CeTa3O12, with properties calculated at the PBE level.

Unit cell a=7.7169 b=7.7169 c=7.7169 alpha=59.47 beta=59.47 gamma=59.47
Last column: magnetic moment on the atom in μB.
Sites, in units of the cell vectors:
Cs 0.6187 0.6187 0.6187  0.00
Cs 0.3813 0.3813 0.3813  0.00
Ce 0.0000 0.0000 0.0000  0.00
Ta 0.5000 0.0000 0.0000  -0.07
Ta 0.0000 0.5000 0.0000  -0.07
Ta 0.0000 0.0000 0.5000  -0.07
O 0.3003 0.3003 0.9319  0.20
O 0.9211 0.9211 0.3489  0.26
O 0.3489 0.9211 0.9211  0.26
O 0.9319 0.3003 0.3003  0.20
O 0.9211 0.3489 0.9211  0.26
O 0.3003 0.9319 0.3003  0.20
O 0.6997 0.6997 0.0681  0.20
O 0.0789 0.0789 0.6511  0.26
O 0.6511 0.0789 0.0789  0.26
O 0.0681 0.6997 0.6997  0.20
O 0.0789 0.6511 0.0789  0.26
O 0.6997 0.0681 0.6997  0.20

Uncorrected formation energy: -2.441 eV per atom


No. 5
Below is an optimized crystal structure of CaBIO2, with properties calculated at the PBE level.

Unit cell a=3.9969 b=3.9969 c=4.6529 alpha=90.00 beta=90.00 gamma=90.00
Last column: magnetic moment on the atom in μB.
Sites, in units of the cell vectors:
I 0.0000 0.0000 0.5000  0.00
Ca 0.5000 0.5000 0.5000  0.00
B 0.0000 0.0000 0.0000  0.00
O 0.0000 0.5000 0.0000  -0.10
O 0.5000 0.0000 0.0000  -0.10

Uncorrected formation energy: -0.253 eV per atom


No. 6
Below is an optimized crystal structure of KPt2Se, with properties calculated at the PBE level.

Unit cell a=5.0697 b=5.0697 c=6.0657 alpha=71.72 beta=71.72 gamma=44.31
Sites, in units of the cell vectors:
K 0.7408 0.7408 0.7528
Pt 0.9507 0.9507 0.1958
Pt 0.2456 0.2456 0.2153
Se 0.5629 0.5629 0.3361

Uncorrected formation energy: -0.337 eV per atom


No. 7
Below is an optimized crystal structure of Cs2ZnAg3, with properties calculated at the PBE level.

Unit cell a=6.2136 b=7.1095 c=9.1998 alpha=90.00 beta=90.00 gamma=90.00
Sites, in units of the cell vectors:
Cs 0.2500 0.5000 0.1489
Cs 0.2500 0.0000 0.3804
Cs 0.7500 0.0000 0.6196
Cs 0.7500 0.5000 0.8511
Zn 0.7500 0.5000 0.3799
Zn 0.2500 0.5000 0.6201
Ag 0.0000 0.0000 0.0000
Ag 0.5000 0.0000 0.0000
Ag 0.7500 0.1996 0.2126
Ag 0.7500 0.8004 0.2126
Ag 0.2500 0.1996 0.7874
Ag 0.2500 0.8004 0.7874

ΔH_f (0 K): 0.09 eV/atom


No. 8
Below is an optimized crystal structure of ThCd2Au, with properties calculated at the PBE level.

Unit cell a=3.4884 b=3.4884 c=7.7448 alpha=90.00 beta=90.00 gamma=90.00
Sites, in units of the cell vectors:
Au 0.5000 0.5000 0.0000
Th 0.5000 0.5000 0.5000
Cd 0.0000 0.0000 0.7942
Cd 0.0000 0.0000 0.2058

ΔH_f (0 K): -0.16 eV/atom


| no. | N(E_F) (states/eV/f.u.) | calculated density (kg/m³) |
| --- | --- | --- |
| 1 | 11.3 | 8875 |
| 2 | 3.7 | 4031 |
| 3 | 3.3 | 6361 |
| 4 | 11.2 | 5901 |
| 5 | 1.3 | 4687 |
| 6 | 1.1 | 8237 |
| 7 | 2.8 | 5351 |
| 8 | 3.2 | 11520 |